1.
An optimized crystal structure of Ac2DyThS4. Source: Alexandria, functional PBE.

total magnetization: 0.0 μB per formula unit
uncorrected energy: -52.2 eV per formula unit
V: 200.31 Å³/cell

```
Ac2DyThS4
1.0
7.144 0.000 0.000
0.000 4.093 0.000
-2.343 0.000 6.852
Ac Dy Th S
2 1 1 4
Direct
0.000 0.000 0.000
0.500 0.500 0.000
0.000 0.500 0.500
0.500 0.000 0.500
0.235 0.000 0.723
0.250 0.500 0.272
0.750 0.500 0.728
0.765 0.000 0.277
```

2.
An optimized crystal structure of AgIr2W. Source: Alexandria, functional PBE.

total magnetization: 0.0 μB per formula unit
DFT formation energy: 0.209 eV per atom
energy relative to the lowest polymorph listed for this composition: 207 meV/atom
V: 62.05 Å³/cell

```
AgIr2W
1.0
4.625 -1.390 0.000
4.625 1.390 0.000
-0.853 0.000 4.825
Ag Ir W
1 2 1
Direct
0.000 0.000 0.000
0.242 0.242 0.735
0.758 0.758 0.265
0.500 0.500 0.500
```